(1)
LiLa2CoTe | PBE | optimized geometry

Crystal system   tetragonal
Total DFT energy (no corrections)   -4.96 eV per atom

a = 5.1634 Å, b = 5.1634 Å, c = 4.8473 Å
α = 90.00°, β = 90.00°, γ = 90.00°
Closest atoms and distances in Å follow each position.
Atoms (fractional coordinates):
La: 0.0000 0.5000 0.0000  2 Co 2.58
La: 0.5000 0.0000 0.0000  2 Co 2.58
Te: 0.5000 0.5000 0.5000  8 La 3.54, 4 Li 3.65
Li: 0.0000 0.0000 0.5000  2 Co 2.42
Co: 0.0000 0.0000 0.0000  2 Li 2.42, 4 La 2.58

---

(2)
LiLa2TlCo | PBE | optimized geometry

Polymorph energy (0 for the lowest one)   2 meV/atom
Crystal system   tetragonal

a = 5.2591 Å, b = 5.2591 Å, c = 5.1453 Å
α = 90.00°, β = 90.00°, γ = 90.00°
Closest atoms and distances in Å follow each position.
Atoms (fractional coordinates):
Co: 0.0000 0.0000 0.0000  2 Tl 2.57, 4 La 2.63
Li: 0.5000 0.5000 0.5000  8 La 3.68, 4 Tl 3.72
Tl: 0.0000 0.0000 0.5000  2 Co 2.57
La: 0.0000 0.5000 0.0000  2 Co 2.63
La: 0.5000 0.0000 0.0000  2 Co 2.63

---

(3)
LiLa2TlCo | PBE | optimized geometry

Polymorph energy (0 for the lowest one)   0 meV/atom
Crystal system   tetragonal

a = 5.2137 Å, b = 5.2137 Å, c = 4.9454 Å
α = 90.00°, β = 90.00°, γ = 90.00°
Closest atoms and distances in Å follow each position.
Atoms (fractional coordinates):
La: 0.0000 0.5000 0.0000  2 Co 2.61
La: 0.5000 0.0000 0.0000  2 Co 2.61
Tl: 0.5000 0.5000 0.5000  8 La 3.59, 4 Li 3.69
Li: 0.0000 0.0000 0.5000  2 Co 2.47
Co: 0.0000 0.0000 0.0000  2 Li 2.47, 4 La 2.61

---

(4)
LiLaY2Co | PBE | optimized geometry

Polymorph energy (0 for the lowest one)   0 meV/atom
Crystal system   tetragonal

a = 5.3382 Å, b = 5.3382 Å, c = 5.3069 Å
α = 90.00°, β = 90.00°, γ = 90.00°
Closest atoms and distances in Å follow each position.
Atoms (fractional coordinates):
Y: 0.0000 0.5000 0.0000  2 Co 2.67
Y: 0.5000 0.0000 0.0000  2 Co 2.67
Li: 0.5000 0.5000 0.5000  8 Y 3.76, 4 La 3.77
La: 0.0000 0.0000 0.5000  2 Co 2.65
Co: 0.0000 0.0000 0.0000  2 La 2.65, 4 Y 2.67

---

(5)
LiLaYCo | PBE | optimized geometry

Crystal system   cubic
Total DFT energy (no corrections)   -5.10 eV per atom

a = 5.0050 Å, b = 5.0050 Å, c = 5.0050 Å
α = 60.00°, β = 60.00°, γ = 60.00°
Closest atoms and distances in Å follow each position.
Atoms (fractional coordinates):
Co: 0.5000 0.5000 0.5000  4 Y 3.06, 4 La 3.06
Y: 0.7500 0.7500 0.7500  4 Co 3.06, 4 Li 3.06
Li: 0.0000 0.0000 0.0000  4 La 3.06, 4 Y 3.06
La: 0.2500 0.2500 0.2500  4 Co 3.06, 4 Li 3.06

---

(6)
LiLaY2Co | PBE | optimized geometry

Polymorph energy (0 for the lowest one)   115 meV/atom
Crystal system   tetragonal

a = 5.1293 Å, b = 5.1293 Å, c = 5.2534 Å
α = 90.00°, β = 90.00°, γ = 90.00°
Closest atoms and distances in Å follow each position.
Atoms (fractional coordinates):
La: 0.5000 0.5000 0.5000  4 Li 3.63, 8 Y 3.67
Y: 0.5000 0.0000 0.0000  2 Co 2.56
Y: 0.0000 0.5000 0.0000  2 Co 2.56
Co: 0.0000 0.0000 0.0000  4 Y 2.56, 2 Li 2.63
Li: 0.0000 0.0000 0.5000  2 Co 2.63